Density functional theory data (GGA-PBE) for an optimized crystal structure of AlCuBr2.

Values from the calculation:
The space group is No. 71. The calculation puts the energy relative to the elements, uncorrected at -0.15 eV per formula unit. The total energy comes out at -2.833 eV per atom. The calculation puts the energy above the most stable polymorph in this dataset at 327.5 meV per atom.

Lattice parameters (Å, degrees): 5.6472 5.6472 5.6472 141.07 110.83 82.32
Closest atoms and distances in Å follow each position.
Atoms (fractional coordinates):
Al 0.7500 0.2500 0.5000  4 Br 3.17
Br 0.0505 0.0505 0.0000  2 Cu 2.53
Cu 0.2500 0.7500 0.5000  4 Br 2.53
Br 0.4495 0.4495 0.0000  2 Cu 2.53